The following is a DFT calculation (GGA-PBE) of a relaxed Zn2GaNO2 crystal.

Cell: 5.6417 5.6417 5.3047 Å, 90.00 90.00 60.30°
Last column: nearest neighbours and their distance in Å.
Sites, in units of the cell vectors:
1 Zn 0.0109 0.6677 0.5000  1 N 1.98, 3 O 2.04-2.06
2 Zn 0.3323 0.9891 0.5000  1 N 1.98, 3 O 2.04-2.06
3 Zn 0.6677 0.0109 0.0000  1 N 1.98, 3 O 2.04-2.06
4 Zn 0.9891 0.3323 0.0000  1 N 1.98, 3 O 2.04-2.06
5 Ga 0.3452 0.6548 0.0072  2 N 1.91, 2 O 1.94
6 Ga 0.6548 0.3452 0.5072  2 N 1.91, 2 O 1.94
7 N 0.3442 0.6558 0.3668  2 Ga 1.91, 2 Zn 1.98
8 N 0.6558 0.3442 0.8668  2 Ga 1.91, 2 Zn 1.98
9 O 0.0136 0.6667 0.8891  1 Ga 1.94, 3 Zn 2.04-2.06
10 O 0.3333 0.9864 0.8891  1 Ga 1.94, 3 Zn 2.04-2.06
11 O 0.6667 0.0136 0.3891  1 Ga 1.94, 3 Zn 2.04-2.06
12 O 0.9864 0.3333 0.3891  1 Ga 1.94, 3 Zn 2.04-2.06

Properties
Space group   Cmc2_1, No. 36
Energy relative to the elements, uncorrected   -1.108 eV per atom